(1)
{
  "formula": "SrLiAl",
  "functional": "meta-GGA SCAN",
  "state": "single point on PBEsol structure",
  "delta_e_f_mev_per_atom": -38.3,
  "e_tot_ev_per_atom": -10.84,
  "dos_at_fermi_per_ev_cell": 2.32,
  "cell": [[5.0949, 0.0000, 0.0000], [-2.5474, 4.4123, 0.0000], [0.0000, 0.0000, 3.5435]],
  "species": ["Sr", "Li", "Al"],
  "fractional_positions": [[0.0000, 0.0000, 0.0000], [0.6667, 0.3333, 0.5000], [0.3333, 0.6667, 0.5000]]
}



(2)
{
  "formula": "Sr2LiAl",
  "functional": "meta-GGA SCAN",
  "state": "single point on PBEsol structure",
  "delta_e_f_mev_per_atom": -22.5,
  "e_tot_ev_per_atom": -13.70,
  "dos_at_fermi_per_ev_cell": 4.57,
  "cell": [[3.8172, 0.0000, 0.0000], [0.0000, 5.6610, 0.0000], [0.0000, 0.0000, 11.7331]],
  "species": ["Sr", "Sr", "Sr", "Sr", "Li", "Li", "Al", "Al"],
  "fractional_positions": [[0.0000, 0.0000, 0.0000], [0.0000, 0.5000, 0.2029], [0.5000, 0.0000, 0.7029], [0.5000, 0.5000, 0.5000], [0.0000, 0.0000, 0.4141], [0.5000, 0.5000, 0.9141], [0.0000, 0.5000, 0.7429], [0.5000, 0.0000, 0.2429]]
}



(3)
{
  "formula": "Sr2LiAl",
  "functional": "meta-GGA SCAN",
  "state": "single point on PBEsol structure",
  "delta_e_f_mev_per_atom": -63.8,
  "e_tot_ev_per_atom": -13.74,
  "dos_at_fermi_per_ev_cell": 2.73,
  "cell": [[3.9661, 0.0000, 0.0000], [0.0000, 3.9661, 0.0000], [0.0000, 0.0000, 8.2697]],
  "species": ["Sr", "Sr", "Li", "Al"],
  "fractional_positions": [[0.0000, 0.0000, 0.2279], [0.0000, 0.0000, 0.7721], [0.5000, 0.5000, 0.5000], [0.5000, 0.5000, 0.0000]]
}



(4)
{
  "formula": "Sr2LiAl",
  "functional": "meta-GGA SCAN",
  "state": "single point on PBEsol structure",
  "delta_e_f_mev_per_atom": -22.7,
  "e_tot_ev_per_atom": -13.70,
  "dos_at_fermi_per_ev_cell": 4.36,
  "cell": [[12.5513, 0.0000, 0.0000], [0.0000, 3.8014, 0.0000], [-2.1007, 0.0000, 5.3110]],
  "species": ["Sr", "Sr", "Sr", "Sr", "Li", "Li", "Al", "Al"],
  "fractional_positions": [[0.0000, 0.0000, 0.0000], [0.2026, 0.0000, 0.6659], [0.5000, 0.5000, 0.0000], [0.7026, 0.5000, 0.6659], [0.2865, 0.5000, 0.2508], [0.7865, 0.0000, 0.2508], [0.4583, 0.0000, 0.4706], [0.9583, 0.5000, 0.4706]]
}



(5)
{
  "formula": "SrLi4Al",
  "functional": "meta-GGA SCAN",
  "state": "single point on PBEsol structure",
  "delta_e_f_mev_per_atom": -34.4,
  "e_tot_ev_per_atom": -6.63,
  "dos_at_fermi_per_ev_cell": 2.47,
  "cell": [[0.0000, 3.9836, 3.9836], [3.9836, 0.0000, 3.9836], [3.9836, 3.9836, 0.0000]],
  "species": ["Sr", "Li", "Li", "Li", "Li", "Al"],
  "fractional_positions": [[0.0000, 0.0000, 0.0000], [0.1347, 0.6218, 0.6218], [0.6218, 0.1347, 0.6218], [0.6218, 0.6218, 0.1347], [0.6218, 0.6218, 0.6218], [0.2500, 0.2500, 0.2500]]
}



(6)
{
  "formula": "LiTaAl2",
  "functional": "meta-GGA SCAN",
  "state": "single point on PBEsol structure",
  "delta_e_f_mev_per_atom": 44.3,
  "e_tot_ev_per_atom": -21.07,
  "dos_at_fermi_per_ev_cell": 6.33,
  "cell": [[2.8583, 0.0000, 0.0000], [-1.4292, 2.4754, 0.0000], [0.0000, 0.0000, 28.2509]],
  "species": ["Li", "Li", "Li", "Ta", "Ta", "Ta", "Al", "Al", "Al", "Al", "Al", "Al"],
  "fractional_positions": [[0.0000, 0.0000, 0.0000], [0.3333, 0.6667, 0.6667], [0.6667, 0.3333, 0.3333], [0.0000, 0.0000, 0.2434], [0.3333, 0.6667, 0.9101], [0.6667, 0.3333, 0.5768], [0.0000, 0.0000, 0.4960], [0.0000, 0.0000, 0.7485], [0.3333, 0.6667, 0.1627], [0.3333, 0.6667, 0.4152], [0.6667, 0.3333, 0.0818], [0.6667, 0.3333, 0.8294]]
}



(7)
{
  "formula": "Li2TaAl",
  "functional": "meta-GGA SCAN",
  "state": "single point on PBEsol structure",
  "delta_e_f_mev_per_atom": 154.8,
  "e_tot_ev_per_atom": -19.62,
  "dos_at_fermi_per_ev_cell": 1.66,
  "cell": [[2.7062, 0.0000, 0.0000], [0.0000, 3.8994, 0.0000], [-0.0899, 0.0000, 6.1559]],
  "species": ["Li", "Li", "Ta", "Al"],
  "fractional_positions": [[0.0000, 0.0000, 0.0000], [0.4872, 0.5000, 0.2344], [0.9941, 0.0000, 0.5117], [0.5010, 0.5000, 0.7435]]
}



(8)
{
  "formula": "LiTaAl2",
  "functional": "meta-GGA SCAN",
  "state": "single point on PBEsol structure",
  "delta_e_f_mev_per_atom": -173.6,
  "e_tot_ev_per_atom": -21.29,
  "dos_at_fermi_per_ev_cell": 1.03,
  "cell": [[4.6975, 0.0000, 0.0000], [0.0000, 4.6975, 0.0000], [0.0000, 0.0000, 2.8831]],
  "species": ["Li", "Ta", "Al", "Al"],
  "fractional_positions": [[0.0000, 0.0000, 0.0000], [0.5000, 0.5000, 0.0000], [0.0000, 0.5000, 0.5000], [0.5000, 0.0000, 0.5000]]
}



Repeat the eighth record exactly.
{
  "formula": "LiTaAl2",
  "functional": "meta-GGA SCAN",
  "state": "single point on PBEsol structure",
  "delta_e_f_mev_per_atom": -173.6,
  "e_tot_ev_per_atom": -21.29,
  "dos_at_fermi_per_ev_cell": 1.03,
  "cell": [[4.6975, 0.0000, 0.0000], [0.0000, 4.6975, 0.0000], [0.0000, 0.0000, 2.8831]],
  "species": ["Li", "Ta", "Al", "Al"],
  "fractional_positions": [[0.0000, 0.0000, 0.0000], [0.5000, 0.5000, 0.0000], [0.0000, 0.5000, 0.5000], [0.5000, 0.0000, 0.5000]]
}